Record 1
A relaxed Li4Th3Te8 crystal, computed with GGA-PBE.

Unit cell a=8.7027 b=8.7027 c=8.7311 alpha=118.53 beta=118.53 gamma=91.92
With the nearest neighbours (Å) after each atom.
Positions (direct):
Li1 0.0000 0.0000 0.0000  6 Te 3.02-3.17
Li2 0.0000 0.5000 0.0000  6 Te 3.03-3.17
Li3 0.5000 0.0000 0.0000  6 Te 3.03-3.17
Li4 0.5000 0.5000 0.5000  6 Te 2.99-3.19
Th1 0.0000 0.5000 0.5000  6 Te 3.03-3.17
Th2 0.5000 0.0000 0.5000  6 Te 3.03-3.17
Th3 0.5000 0.5000 0.0000  6 Te 3.04-3.20
Te1 0.2354 0.2354 0.4988  3 Th 3.13-3.19, 2 Li 3.17-3.19
Te2 0.2440 0.7560 0.0000  3 Li 3.03-3.05, 3 Th 3.17-3.20
Te3 0.2543 0.7457 0.5000  2 Th 3.03, 3 Li 3.07-3.17
Te4 0.2637 0.2637 0.0290  4 Li 2.99-3.13, 1 Th 3.04
Te5 0.7363 0.7363 0.9710  4 Li 2.99-3.13, 1 Th 3.04
Te6 0.7457 0.2543 0.5000  2 Th 3.03, 3 Li 3.07-3.17
Te7 0.7560 0.2440 0.0000  3 Li 3.03-3.05, 3 Th 3.17-3.20
Te8 0.7646 0.7646 0.5012  3 Th 3.13-3.19, 2 Li 3.17-3.19

Output
**Calculated total energy**: -4.6767 eV/atom
**Symmetry**: No. 12
**Uncorrected formation energy**: -1.01 eV per atom

Record 2
A relaxed K3Na2I3Cl2 crystal, computed with GGA-PBE.

Unit cell a=15.4519 b=15.4519 c=15.4519 alpha=160.93 beta=160.93 gamma=27.09
With the nearest neighbours (Å) after each atom.
Positions (direct):
K1 0.0000 0.0000 0.0000  6 I 3.62-3.66
K2 0.3836 0.3836 0.0000  1 Cl 3.14, 1 I 3.50
K3 0.6164 0.6164 0.0000  1 Cl 3.14, 1 I 3.50
Na1 0.2500 0.7500 0.5000  4 Cl 2.71
Na2 0.7500 0.2500 0.5000  4 Cl 2.71
I1 0.1220 0.1220 0.0000  5 K 3.62-3.66
I2 0.5000 0.5000 0.0000  6 K 3.50-3.62
I3 0.8780 0.8780 0.0000  5 K 3.62-3.66
Cl1 0.2792 0.2792 0.0000  4 Na 2.71
Cl2 0.7208 0.7208 0.0000  4 Na 2.71

Output
**Calculated total energy**: -2.9973 eV/atom
**Symmetry**: No. 139
**Uncorrected formation energy**: -1.57 eV per atom

Record 3
A relaxed CaSc2As crystal, computed with GGA-PBE.

Unit cell a=9.3687 b=9.3687 c=9.3687 alpha=23.30 beta=23.30 gamma=23.30
With the nearest neighbours (Å) after each atom.
Positions (direct):
Ca1 0.0000 0.0000 0.0000  6 Sc 3.75, 6 Ca 3.78
Sc1 0.2218 0.2218 0.2218  3 As 2.65
Sc2 0.7782 0.7782 0.7782  3 As 2.65
As1 0.5000 0.5000 0.5000  6 Sc 2.65

Output
**Calculated total energy**: -5.3581 eV/atom
**Energy relative to the elements**: -0.53 eV per atom
**Symmetry**: No. 166

Record 4
A relaxed NbGa crystal, computed with GGA-PBE.

Unit cell a=6.0357 b=6.0357 c=6.0357 alpha=100.62 beta=100.62 gamma=129.15
With the nearest neighbours (Å) after each atom.
Positions (direct):
Nb1 0.0555 0.3399 0.3954  1 Nb 2.61, 5 Ga 2.68-2.80
Nb2 0.3399 0.9445 0.2844  1 Nb 2.61, 5 Ga 2.68-2.80
Nb3 0.6601 0.0555 0.7156  1 Nb 2.61, 5 Ga 2.68-2.80
Nb4 0.9445 0.6601 0.6046  1 Nb 2.61, 5 Ga 2.68-2.80
Ga1 0.2900 0.6001 0.8901  2 Ga 2.54, 5 Nb 2.68-2.80
Ga2 0.3999 0.2900 0.6898  2 Ga 2.54, 5 Nb 2.68-2.80
Ga3 0.6001 0.7100 0.3102  2 Ga 2.54, 5 Nb 2.68-2.80
Ga4 0.7100 0.3999 0.1099  2 Ga 2.54, 5 Nb 2.68-2.80

Output
**Calculated total energy**: -6.4655 eV/atom
**Energy relative to the elements**: 0.08 eV per atom
**Symmetry**: No. 87

Record 5
A relaxed Cr2CuP crystal, computed with GGA-PBE.

Unit cell a=4.0742 b=4.0742 c=4.0742 alpha=60.00 beta=60.00 gamma=60.00
With the nearest neighbours (Å) after each atom.
Positions (direct):
Cr1 0.0000 0.0000 0.0000  4 Cr 2.49, 4 P 2.49
Cr2 0.2500 0.2500 0.2500  4 Cr 2.49, 4 Cu 2.49
Cu1 0.5000 0.5000 0.5000  4 Cr 2.49, 4 P 2.49
P1 0.7500 0.7500 0.7500  4 Cr 2.49, 4 Cu 2.49

Output
**Calculated total energy**: -7.0316 eV/atom
**Energy relative to the elements**: 0.16 eV per atom
**Symmetry**: No. 216

Record 6
A relaxed CaBi3Pb2 crystal, computed with GGA-PBE.

Unit cell a=8.3290 b=8.3290 c=9.6391 alpha=90.00 beta=90.00 gamma=145.23
With the nearest neighbours (Å) after each atom.
Positions (direct):
Ca1 0.1553 0.8447 0.0000  8 Bi 3.42-3.57, 2 Pb 3.50
Ca2 0.8447 0.1553 0.0000  8 Bi 3.42-3.57, 2 Pb 3.50
Bi1 0.0000 0.0000 0.2500  2 Ca 3.45, 6 Pb 3.46-3.50, 4 Bi 3.72
Bi2 0.0000 0.0000 0.7500  2 Ca 3.45, 6 Pb 3.46-3.50, 4 Bi 3.72
Bi3 0.3257 0.6743 0.2419  3 Ca 3.42-3.57, 4 Bi 3.46-3.72, 5 Pb 3.53-3.72
Bi4 0.3257 0.6743 0.7581  3 Ca 3.42-3.57, 4 Bi 3.46-3.72, 5 Pb 3.53-3.72
Bi5 0.6743 0.3257 0.2419  3 Ca 3.42-3.57, 4 Bi 3.46-3.72, 5 Pb 3.53-3.72
Bi6 0.6743 0.3257 0.7581  3 Ca 3.42-3.57, 4 Bi 3.46-3.72, 5 Pb 3.53-3.72
Pb1 0.1600 0.8400 0.5000  8 Bi 3.50-3.62, 4 Pb 3.56-3.79
Pb2 0.5000 0.5000 0.0000  8 Bi 3.46-3.62, 4 Ca 3.50
Pb3 0.5000 0.5000 0.5000  8 Bi 3.46-3.72, 4 Pb 3.56
Pb4 0.8400 0.1600 0.5000  8 Bi 3.50-3.62, 4 Pb 3.56-3.79

Output
**Calculated total energy**: -3.7195 eV/atom
**Energy relative to the elements**: -0.21 eV per atom
**Symmetry**: No. 65

> Which formula does entry 1 have?

Li4Th3Te8